Record 1
{
  "formula": "Mg2Cu5Si2Ag",
  "functional": "PBE",
  "state": "optimized geometry",
  "e_form_raw_ev_per_atom": -0.033,
  "rho_g_cm3": 5.971,
  "space_group": "P4/mbm",
  "magnetic_moment_mub_per_cell": 0.00,
  "cell": [[-0.501, 2.347, 2.888], [-2.246, -6.840, 5.169], [8.491, -1.038, 2.316]],
  "species": ["Mg", "Mg", "Mg", "Mg", "Cu", "Cu", "Cu", "Cu", "Cu", "Cu", "Cu", "Cu", "Cu", "Cu", "Si", "Si", "Si", "Si", "Ag", "Ag"],
  "frac_coords": [[0.000, 0.678, 0.178], [0.000, 0.322, 0.822], [0.000, 0.178, 0.322], [0.000, 0.822, 0.678], [0.500, 0.213, 0.066], [0.500, 0.787, 0.934], [0.500, 0.066, 0.787], [0.500, 0.713, 0.434], [0.500, 0.934, 0.213], [0.500, 0.287, 0.566], [0.500, 0.566, 0.713], [0.500, 0.434, 0.287], [0.500, 0.500, 0.000], [0.500, 0.000, 0.500], [0.000, 0.117, 0.617], [0.000, 0.883, 0.383], [0.000, 0.617, 0.883], [0.000, 0.383, 0.117], [0.000, 0.000, 0.000], [0.000, 0.500, 0.500]]
}


Record 2
{
  "formula": "MgCuAgSn",
  "functional": "PBE",
  "state": "optimized geometry",
  "rho_g_cm3": 7.051,
  "delta_e_f_ev_per_atom": -0.020,
  "space_group": "F-43m",
  "magnetic_moment_mub_per_cell": 0.00,
  "cell": [[4.714, 0.000, 0.000], [2.357, 4.082, 0.000], [2.357, 1.361, 3.849]],
  "species": ["Mg", "Cu", "Sn", "Ag"],
  "frac_coords": [[0.750, 0.750, 0.750], [0.500, 0.500, 0.500], [0.250, 0.250, 0.250], [0.000, 0.000, 0.000]]
}


Record 3
{
  "formula": "SrMg2CuAg",
  "functional": "PBE",
  "state": "optimized geometry",
  "rho_g_cm3": 4.042,
  "delta_e_f_ev_per_atom": -0.006,
  "space_group": "P4/mmm",
  "magnetic_moment_mub_per_cell": 0.00,
  "cell": [[-1.195, -4.384, 1.944], [1.363, -2.231, -4.194], [4.813, -0.501, 1.831]],
  "species": ["Sr", "Mg", "Mg", "Cu", "Ag"],
  "frac_coords": [[0.500, 0.500, 0.500], [0.000, 0.500, 0.000], [0.500, 0.000, 0.000], [0.000, 0.000, 0.000], [0.000, 0.000, 0.500]]
}


Record 4
{
  "formula": "SrMg6CuAg",
  "functional": "PBE",
  "state": "optimized geometry",
  "rho_g_cm3": 2.955,
  "delta_e_f_ev_per_atom": 0.051,
  "space_group": "Imma",
  "magnetic_moment_mub_per_cell": 0.00,
  "cell": [[-2.588, -6.819, 6.325], [4.910, -4.832, -3.201], [3.271, 7.752, 2.328]],
  "species": ["Sr", "Sr", "Mg", "Mg", "Mg", "Mg", "Mg", "Mg", "Mg", "Mg", "Mg", "Mg", "Mg", "Mg", "Cu", "Cu", "Ag", "Ag"],
  "frac_coords": [[0.059, 0.809, 0.119], [0.941, 0.191, 0.881], [0.236, 0.486, 0.472], [0.662, 0.912, 0.324], [0.862, 0.172, 0.254], [0.392, 0.582, 0.254], [0.392, 0.172, 0.254], [0.862, 0.582, 0.254], [0.764, 0.514, 0.528], [0.338, 0.088, 0.676], [0.138, 0.828, 0.746], [0.608, 0.418, 0.746], [0.608, 0.828, 0.746], [0.138, 0.418, 0.746], [0.500, 0.000, 0.500], [0.000, 0.000, 0.500], [0.500, 0.500, 0.000], [0.500, 0.000, 0.000]]
}


Record 5
{
  "formula": "TbMgCuAg",
  "functional": "PBE",
  "state": "optimized geometry",
  "rho_g_cm3": 7.286,
  "delta_e_f_ev_per_atom": -0.226,
  "space_group": "F-43m",
  "magnetic_moment_mub_per_cell": 0.00,
  "cell": [[4.853, 0.000, 0.000], [2.427, 4.203, 0.000], [2.427, 1.401, 3.963]],
  "species": ["Mg", "Tb", "Cu", "Ag"],
  "frac_coords": [[0.500, 0.500, 0.500], [0.000, 0.000, 0.000], [0.250, 0.250, 0.250], [0.750, 0.750, 0.750]]
}


Record 6
{
  "formula": "MgTiCuAg2",
  "functional": "PBE",
  "state": "optimized geometry",
  "rho_g_cm3": 5.018,
  "delta_e_f_ev_per_atom": 1.126,
  "space_group": "P4/mmm",
  "magnetic_moment_mub_per_cell": 2.46,
  "cell": [[-0.949, 4.486, -1.361], [-1.573, 1.095, 4.708], [4.448, 1.301, 1.184]],
  "species": ["Mg", "Cu", "Ag", "Ag", "Ti"],
  "frac_coords": [[0.000, 0.000, 0.000], [0.500, 0.500, 0.500], [0.000, 0.000, 0.500], [0.500, 0.000, 0.000], [0.000, 0.500, 0.000]]
}